PdClO | PBE-GGA | optimized geometry

formation energy without anion corrections	-0.235	eV per atom
energy	-50.81	eV/cell

Cell: 5.596 6.863 6.678 Å, 90.00 90.00 120.46°
Fractional coordinates of all 12 atoms:
Pd1 0.263 0.516 0.611
Pd2 0.763 0.516 0.889
O1 0.015 0.373 0.855
O2 0.485 0.627 0.355
Pd3 0.737 0.484 0.389
O3 0.515 0.373 0.645
Cl1 0.377 0.207 0.082
Cl2 0.877 0.207 0.418
Pd4 0.237 0.484 0.111
Cl3 0.623 0.793 0.918
Cl4 0.123 0.793 0.582
O4 0.985 0.627 0.145